[1]
Below is a geometry-optimized Cs2Hg2P structure, with properties calculated at the GGA-PBE level.

Cell and atoms, written as extended XYZ:
```
10
Lattice="7.910 0.000 0.000 0.000 7.910 0.000 0.000 0.000 5.760" Properties=species:S:1:pos:R:3 pbc="T T T"
Cs 1.415 2.540 0.000
Cs 2.540 6.495 0.000
Cs 5.370 1.415 0.000
Cs 6.495 5.370 0.000
Hg 1.115 5.070 2.880
Hg 2.840 1.115 2.880
Hg 5.070 6.795 2.880
Hg 6.795 2.840 2.880
P 0.000 0.000 2.880
P 3.955 3.955 2.880
```

Calculated values
Symmetry: P4/mbm
Formation enthalpy at 0 K in eV/atom: -0.04
Distance to the lowest polymorph of the same formula in eV/atom: 0.000
M_tot in μB per formula unit: 0.00

---

[2]
Below is a geometry-optimized Ca3Ga2Sn2 structure, with properties calculated at the GGA-PBE level.

Cell and atoms, written as extended XYZ:
```
7
Lattice="5.757 -2.224 0.000 5.757 2.224 0.000 -3.355 0.000 7.501" Properties=species:S:1:pos:R:3 pbc="T T T"
Ca 0.000 0.000 0.000
Ca -0.087 0.000 4.826
Ca 8.247 0.000 2.675
Ga 3.341 0.000 0.413
Ga 4.819 0.000 7.088
Sn 3.139 0.000 4.965
Sn 5.021 0.000 2.536
```

Calculated values
Symmetry: C2/m
Formation enthalpy at 0 K in eV/atom: -0.56
M_tot in μB per formula unit: 0.00

---

[3]
Below is a geometry-optimized ZrTaBr structure, with properties calculated at the GGA-PBE level.

Cell and atoms, written as extended XYZ:
```
3
Lattice="0.000 2.605 6.792 1.797 0.000 6.792 1.797 2.605 0.000" Properties=species:S:1:pos:R:3 pbc="T T T"
Zr 0.000 0.000 0.000
Ta 1.797 2.605 4.634
Br 1.797 2.605 9.092
```

Calculated values
Symmetry: Fmm2
Distance to the lowest polymorph of the same formula in eV/atom: 0.048
M_tot in μB per formula unit: 0.00

---

[4]
Below is a geometry-optimized Ac3LaPm4Se8 structure, with properties calculated at the GGA-PBE level.

Cell and atoms, written as extended XYZ:
```
16
Lattice="4.307 2.487 7.063 -4.307 2.487 7.063 0.000 -4.974 7.063" Properties=species:S:1:pos:R:3 pbc="T T T"
Ac -2.154 -1.243 7.063
Ac -2.154 1.243 14.127
Ac 0.000 2.487 7.063
La 0.000 0.000 0.000
Pm -4.307 0.000 10.595
Pm -2.154 1.243 3.532
Pm 2.154 1.243 3.532
Pm 0.000 0.000 10.595
Se -2.180 -1.259 12.258
Se 0.000 0.000 5.170
Se 0.000 -2.518 8.932
Se -2.180 1.259 8.932
Se 2.180 -1.259 12.258
Se 0.000 2.518 12.258
Se 0.000 0.000 16.019
Se 2.180 1.259 8.932
```

Calculated values
Symmetry: R-3m
DFT total energy in eV per atom: -5.867
M_tot in μB per formula unit: 0.00

---

[5]
Below is a geometry-optimized ZnPtBr3 structure, with properties calculated at the GGA-PBE level.

Cell and atoms, written as extended XYZ:
```
5
Lattice="5.093 0.000 0.000 0.000 5.093 0.000 0.000 0.000 5.093" Properties=species:S:1:pos:R:3 pbc="T T T"
Zn 0.000 0.000 0.000
Pt 2.546 2.546 2.546
Br 0.000 0.000 2.546
Br 0.000 2.546 0.000
Br 2.546 0.000 0.000
```

Calculated values
Symmetry: Pm-3m
Distance to the lowest polymorph of the same formula in eV/atom: 0.359
M_tot in μB per formula unit: 1.06

---

[6]
Below is a geometry-optimized PmHo8Tl6 structure, with properties calculated at the GGA-PBE level.

Cell and atoms, written as extended XYZ:
```
15
Lattice="4.548 2.626 6.496 -4.548 2.626 6.496 0.000 -5.251 6.496" Properties=species:S:1:pos:R:3 pbc="T T T"
Pm 0.000 0.000 0.000
Ho -3.032 0.014 8.632
Ho -1.528 -2.619 10.855
Ho 0.000 0.000 6.484
Ho 1.504 -2.633 8.632
Ho -1.504 2.633 10.855
Ho 0.000 0.000 13.003
Ho 1.528 2.619 8.632
Ho 3.032 -0.014 10.855
Tl -1.538 -2.586 7.753
Tl -3.009 0.039 11.734
Tl -1.471 2.625 7.753
Tl 1.471 -2.625 11.734
Tl 3.009 -0.039 7.753
Tl 1.538 2.586 11.734
```

Calculated values
Symmetry: R-3
Formation enthalpy at 0 K in eV/atom: -0.13
M_tot in μB per formula unit: 0.00

---

[7]
Below is a geometry-optimized Ga6CoRu structure, with properties calculated at the GGA-PBE level.

Cell and atoms, written as extended XYZ:
```
8
Lattice="3.224 -4.152 0.000 3.224 4.152 0.000 -2.124 0.000 4.825" Properties=species:S:1:pos:R:3 pbc="T T T"
Ga 1.340 2.273 3.465
Ga 0.057 0.000 3.999
Ga 2.985 2.273 1.360
Ga 1.340 -2.273 3.465
Ga 4.267 0.000 0.826
Ga 2.985 -2.273 1.360
Co 0.000 0.000 0.000
Ru 2.162 0.000 2.413
```

Calculated values
Symmetry: C2/m
Formation enthalpy at 0 K in eV/atom: -0.07
M_tot in μB per formula unit: 0.68

---

[8]
Below is a geometry-optimized LaPr2Ag2Ge2 structure, with properties calculated at the GGA-PBE level.

Cell and atoms, written as extended XYZ:
```
7
Lattice="2.316 1.337 9.660 -2.316 1.337 9.660 0.000 -2.674 9.660" Properties=species:S:1:pos:R:3 pbc="T T T"
La 0.000 0.000 0.000
Pr 0.000 0.000 3.708
Pr 0.000 0.000 25.271
Ag 0.000 0.000 11.642
Ag 0.000 0.000 17.337
Ge 0.000 0.000 7.580
Ge 0.000 0.000 21.399
```

Calculated values
Symmetry: R-3m
Formation enthalpy at 0 K in eV/atom: -0.45
M_tot in μB per formula unit: 0.00